Entry 1:
Entry from the Alexandria database: Co3SbN after structural relaxation (GGA-PBE).

The structure belongs to space group Cmcm (No. 63); the cell edges are 5.4738, 5.5555 and 7.7537 Å and the angles 90.00°, 90.00° and 90.00°. The distinct sites, in fractional coordinates, are Co at (0.0000, 0.0423, 0.2500), Co at (0.2500, 0.2500, 0.0000), Sb at (0.0000, 0.4901, 0.7500) and N at (0.0000, 0.0000, 0.0000).

As for the energy above the most stable polymorph in this dataset: 0 meV/atom. Its formation energy (no corrections) is 0.514 eV/f.u.

Entry 2:
Entry from the Alexandria database: CoSb2N after structural relaxation (GGA-PBE).

The structure belongs to space group I-42d (No. 122); the cell edges are 5.5071, 5.5071 and 10.1882 Å and the angles 90.00°, 90.00° and 90.00°. The distinct sites, in fractional coordinates, are Co at (0.0000, 0.0000, 0.0000), Sb at (0.2267, 0.2500, 0.6250) and N at (0.0000, 0.0000, 0.5000).

Its formation energy (no corrections) is 1.823 eV/f.u.

Entry 3:
Entry from the Alexandria database: Co2SbN after structural relaxation (GGA-PBE).

The structure belongs to space group I-42d (No. 122); the cell edges are 4.7242, 4.7242 and 10.2837 Å and the angles 90.00°, 90.00° and 90.00°. The distinct sites, in fractional coordinates, are Co at (0.1160, 0.2500, 0.1250), Sb at (0.0000, 0.0000, 0.5000) and N at (0.0000, 0.0000, 0.0000).

As for the energy above the most stable polymorph in this dataset: 0 meV/atom. Its formation energy (no corrections) is 0.419 eV/f.u.

Entry 4:
Entry from the Alexandria database: Co3SbN after structural relaxation (GGA-PBE).

The structure belongs to space group Pm-3m (No. 221); the cell edges are 4.6417, 4.6417 and 4.6417 Å and the angles 90.00°, 90.00° and 90.00°. The distinct sites, in fractional coordinates, are Co at (0.0000, 0.0000, 0.5000), Sb at (0.0000, 0.0000, 0.0000) and N at (0.5000, 0.5000, 0.5000).

As for the energy above the most stable polymorph in this dataset: 2261 meV/atom. Its formation energy (no corrections) is 11.819 eV/f.u.

Entry 5:
Entry from the Alexandria database: Co2SbN after structural relaxation (GGA-PBE).

The structure belongs to space group Fm-3m (No. 225); the cell edges are 5.8420, 5.8420 and 5.8420 Å and the angles 90.00°, 90.00° and 90.00°. The distinct sites, in fractional coordinates, are Co at (0.2500, 0.2500, 0.2500), Sb at (0.0000, 0.0000, 0.0000) and N at (0.0000, 0.0000, 0.5000).

As for the energy above the most stable polymorph in this dataset: 821 meV/atom. Its formation energy (no corrections) is 3.703 eV/f.u.

Entry 6:
Entry from the Alexandria database: CoSbSeN2 after structural relaxation (GGA-PBE).

The structure belongs to space group P4/mmm (No. 123); the cell edges are 3.6593, 3.6593 and 6.3635 Å and the angles 90.00°, 90.00° and 90.00°. The distinct sites, in fractional coordinates, are Co at (0.0000, 0.0000, 0.0000), Sb at (0.5000, 0.5000, 0.0000), Se at (0.5000, 0.5000, 0.5000) and N at (0.0000, 0.5000, 0.5000).

As for the energy above the most stable polymorph in this dataset: 712 meV/atom. Its formation energy (no corrections) is 8.875 eV/f.u.

Entry 7:
Entry from the Alexandria database: CoSbSeN2 after structural relaxation (GGA-PBE).

The structure belongs to space group P4/mmm (No. 123); the cell edges are 3.9257, 3.9257 and 5.8614 Å and the angles 90.00°, 90.00° and 90.00°. The distinct sites, in fractional coordinates, are Co at (0.0000, 0.0000, 0.0000), Sb at (0.5000, 0.5000, 0.5000), Se at (0.5000, 0.5000, 0.0000) and N at (0.0000, 0.5000, 0.5000).

As for the energy above the most stable polymorph in this dataset: 426 meV/atom. Its formation energy (no corrections) is 7.442 eV/f.u.

Entry 8:
Entry from the Alexandria database: CoSbSeN2 after structural relaxation (GGA-PBE).

The structure belongs to space group P4/mmm (No. 123); the cell edges are 3.8787, 3.8787 and 4.9088 Å and the angles 90.00°, 90.00° and 90.00°. The distinct sites, in fractional coordinates, are Co at (0.0000, 0.0000, 0.0000), Sb at (0.5000, 0.5000, 0.5000), Se at (0.0000, 0.0000, 0.5000) and N at (0.0000, 0.5000, 0.0000).

As for the energy above the most stable polymorph in this dataset: 0 meV/atom. Its formation energy (no corrections) is 5.314 eV/f.u.